5
Lattice="-3.087 3.087 1.849 3.087 -3.087 1.849 3.087 3.087 -1.849" Properties=species:S:1:pos:R:3 comment="Al4Fe, relaxed, DFT PBE" volume_a3_per_atom=14.10 ef_ev_per_atom=-0.12 pbc="T T T"
Al 4.368 0.640 0.000
Al 0.640 1.806 0.000
Al 2.447 1.281 1.849
Al -1.281 2.447 1.849
Fe 0.000 0.000 1.849



5
Lattice="2.277 1.315 5.758 -2.277 1.315 5.758 0.000 -2.629 5.758" Properties=species:S:1:pos:R:3 comment="ZrTi2Sb2, relaxed, DFT PBE" volume_a3_per_atom=20.69 e_form_raw_ev_per_atom=-0.261 pbc="T T T"
Zr 0.000 0.000 0.000
Ti 0.000 0.000 3.090
Ti 0.000 0.000 14.184
Sb 0.000 0.000 7.156
Sb 0.000 0.000 10.118



8
Lattice="3.387 -5.719 0.000 3.387 5.719 0.000 -2.808 0.000 6.079" Properties=species:S:1:pos:R:3 comment="Tm6HgPd, relaxed, DFT PBE" volume_a3_per_atom=29.44 ef_ev_per_atom=-0.11 pbc="T T T"
Tm 0.884 2.253 1.484
Tm -0.552 0.000 4.652
Tm 0.884 -2.253 1.484
Tm 3.082 2.253 4.596
Tm 4.519 0.000 1.427
Tm 3.082 -2.253 4.596
Hg 1.983 0.000 3.040
Pd 0.000 0.000 0.000



4
Lattice="1.591 0.919 8.575 -1.591 0.919 8.575 0.000 -1.837 8.575" Properties=species:S:1:pos:R:3 comment="MgAlAu2, relaxed, DFT PBE" volume_a3_per_atom=18.80 ef_ev_per_atom=-0.20 pbc="T T T"
Mg 0.000 0.000 0.000
Al 0.000 0.000 19.491
Au 0.000 0.000 6.512
Au 0.000 0.000 12.780



20
Lattice="9.213 0.000 0.000 0.000 5.180 0.000 -3.278 0.000 10.939" Properties=species:S:1:pos:R:3 comment="Er6AlCd3, relaxed, DFT PBE" volume_a3_per_atom=26.10 ef_ev_per_atom=-0.24 pbc="T T T"
Er -1.023 1.295 4.461
Er 0.892 3.885 1.926
Er 2.450 1.295 0.059
Er 0.493 3.885 8.986
Er 2.334 1.295 3.617
Er 1.571 1.295 6.795
Er 4.364 3.885 4.144
Er 3.601 3.885 7.322
Er 5.441 1.295 1.952
Er 3.485 3.885 10.880
Er 5.043 1.295 9.013
Er 6.958 3.885 6.478
Al 3.833 3.885 1.200
Al 2.101 1.295 9.739
Cd -2.621 3.885 9.633
Cd -1.272 1.295 7.904
Cd 0.978 3.885 5.151
Cd 4.957 1.295 5.787
Cd 7.207 3.885 3.035
Cd 8.556 1.295 1.305



8
Lattice="-2.951 2.951 5.635 2.951 -2.951 5.635 2.951 2.951 -5.635" Properties=species:S:1:pos:R:3 comment="GeMoAs2, relaxed, DFT PBE" volume_a3_per_atom=24.54 ef_ev_per_atom=0.34 pbc="T T T"
Ge 0.000 0.000 0.000
Ge 0.000 2.951 2.817
Mo 2.951 0.000 2.817
Mo 0.000 0.000 5.635
As 1.476 -1.399 4.226
As 1.552 1.476 1.409
As 1.476 4.350 -1.409
As 1.399 1.476 7.043



4
Lattice="4.184 0.000 0.000 0.000 4.267 0.000 0.000 0.000 4.496" Properties=species:S:1:pos:R:3 comment="Zr2InSi, relaxed, DFT PBE" volume_a3_per_atom=20.06 e_form_raw_ev_per_atom=-0.344 pbc="T T T"
Zr 0.000 0.000 0.000
Zr 0.000 2.133 2.248
In 2.092 0.000 2.248
Si 2.092 2.133 0.000



8
Lattice="-2.712 2.712 9.244 2.712 -2.712 9.244 2.712 2.712 -9.244" Properties=species:S:1:pos:R:3 comment="KAg2Se, relaxed, DFT PBE" volume_a3_per_atom=34.00 e_form_raw_ev_per_atom=-0.213 pbc="T T T"
K 0.000 0.000 0.000
K 0.000 2.712 4.622
Ag 1.356 2.702 -2.311
Ag 2.723 1.356 2.311
Ag 1.356 0.011 6.933
Ag -0.011 1.356 11.555
Se 2.712 0.000 4.622
Se 0.000 0.000 9.244



5
Lattice="4.517 0.000 0.000 0.000 4.517 0.000 0.000 0.000 4.517" Properties=species:S:1:pos:R:3 comment="NaSbOs3, relaxed, DFT PBE" volume_a3_per_atom=18.44 e_form_raw_ev_per_atom=2.821 pbc="T T T"
Na 0.000 0.000 0.000
Sb 2.259 2.259 2.259
Os 0.000 0.000 2.259
Os 0.000 2.259 0.000
Os 2.259 0.000 0.000



6
Lattice="3.462 0.000 0.000 0.000 3.462 0.000 0.000 0.000 10.171" Properties=species:S:1:pos:R:3 comment="PrVCu, relaxed, DFT PBE" volume_a3_per_atom=20.32 ef_ev_per_atom=0.23 pbc="T T T"
Pr 0.000 0.000 1.943
Pr 0.000 0.000 8.227
V 1.731 1.731 4.103
V 1.731 1.731 6.068
Cu 0.000 0.000 5.085
Cu 1.731 1.731 0.000



4
Lattice="2.985 0.000 0.000 0.000 2.985 0.000 0.000 0.000 7.393" Properties=species:S:1:pos:R:3 comment="MnZn2Hg, relaxed, DFT PBE" volume_a3_per_atom=16.47 ef_ev_per_atom=0.17 pbc="T T T"
Mn 0.000 0.000 0.000
Zn 0.000 0.000 3.292
Zn 1.493 1.493 1.616
Hg 1.493 1.493 5.396



4
Lattice="0.000 3.283 3.283 3.283 0.000 3.283 3.283 3.283 0.000" Properties=species:S:1:pos:R:3 comment="LiYCoSn, relaxed, DFT PBE" volume_a3_per_atom=17.70 ef_ev_per_atom=-0.38 pbc="T T T"
Li 0.000 0.000 0.000
Y 4.925 4.925 4.925
Co 3.283 3.283 3.283
Sn 1.642 1.642 1.642



Number 1: electronic total energy -24.1 eV for the cell shown. Number 2: electronic total energy -33.9 eV for the cell shown. Number 3: electronic total energy -33.2 eV for the cell shown. Number 4: electronic total energy -12.7 eV for the cell shown. Number 5: electronic total energy -72.4 eV for the cell shown. Number 6: electronic total energy -46.8 eV for the cell shown. Number 7: electronic total energy -26.6 eV for the cell shown. Number 8: electronic total energy -22.3 eV for the cell shown. Number 9: electronic total energy -25.0 eV for the cell shown. Number 10: electronic total energy -34.6 eV for the cell shown. Number 11: electronic total energy -11.3 eV for the cell shown. Number 12: electronic total energy -21.0 eV for the cell shown.